[1]
DFT (PBE) results for an optimized crystal structure of LaSm6Mg.

Computed properties:
The symmetry is No. 123. As for the total magnetic moment: 0.0 μB per formula unit. The polymorph energy (0 for the lowest one) is 0.000 eV/f.u. Its formation enthalpy at 0 K is 0.025 eV per atom. As for the density of states at the Fermi level: 1.61 states/eV per atom. As for the calculated density: 6.72 g/cm3. As for the uncorrected energy: -34.63 eV per cell.

Geometry as POSCAR:
```
LaSm6Mg
1.0
5.0787 0.0000 0.0000
0.0000 5.0787 0.0000
0.0000 0.0000 10.2091
Sm Mg La
6 1 1
Direct
0.5000 0.0000 0.2559
0.5000 0.0000 0.7441
0.0000 0.5000 0.7441
0.5000 0.5000 0.5000
0.0000 0.5000 0.2559
0.5000 0.5000 0.0000
0.0000 0.0000 0.5000
0.0000 0.0000 0.0000
```

[2]
DFT (PBE) results for an optimized crystal structure of La8Ru3Br4F.

Computed properties:
The symmetry is No. 166. As for the total magnetic moment: 0.0 μB per formula unit. As for the density of states at the Fermi level: 0.43 states/eV per atom. As for the calculated density: 6.23 g/cm3. The formation energy (no corrections) is -1.176 eV/atom. As for the uncorrected energy: -94.63 eV per cell.

Geometry as POSCAR:
```
La8Ru3Br4F
1.0
8.2417 0.0000 0.0000
0.0000 9.2355 0.6873
-4.1209 -4.1051 5.8364
La F Ru Br
8 1 3 4
Direct
0.2764 0.3054 0.0410
0.2663 0.2990 0.5326
0.2355 0.6945 0.4711
0.7645 0.3055 0.5289
0.7337 0.7010 0.4674
0.7236 0.6946 0.9590
0.2354 0.6946 0.9590
0.7646 0.3054 0.0410
0.0000 0.5000 0.0000
0.5000 0.5000 0.5000
0.0000 0.5000 0.5000
0.5000 0.5000 0.0000
0.0000 0.0000 0.5000
0.5000 0.0000 0.0000
0.5000 0.0000 0.5000
0.0000 0.0000 0.0000
```

[3]
DFT (PBE) results for an optimized crystal structure of Th4TeOs2.

Computed properties:
The symmetry is No. 166. As for the total magnetic moment: 0.0 μB per formula unit. As for the density of states at the Fermi level: 1.10 states/eV per atom. As for the calculated density: 11.37 g/cm3. The formation energy (no corrections) is -0.549 eV/atom. As for the uncorrected energy: -59.12 eV per cell.

Geometry as POSCAR:
```
Th4TeOs2
1.0
-1.9062 2.1927 3.0474
-3.4441 -1.5445 1.8658
6.0485 -5.9611 10.9813
Os Th Te
2 4 1
Direct
0.5725 0.5725 0.2824
0.4275 0.4275 0.7176
0.2775 0.2775 0.1675
0.8716 0.8716 0.3852
0.7225 0.7225 0.8325
0.1284 0.1284 0.6148
0.0000 0.0000 0.0000
```

[4]
DFT (PBE) results for an optimized crystal structure of Be2FeRu.

Computed properties:
The symmetry is No. 71. As for the total magnetic moment: 2.1 μB per formula unit. Its formation enthalpy at 0 K is 0.564 eV per atom. As for the density of states at the Fermi level: 0.59 states/eV per atom. As for the calculated density: 6.07 g/cm3. As for the uncorrected energy: -22.93 eV per cell.

Geometry as POSCAR:
```
Be2FeRu
1.0
4.3526 -1.2701 -2.3122
-1.3078 4.3414 2.3122
-3.0830 0.0114 4.0497
Be Fe Ru
2 1 1
Direct
0.0000 0.7553 0.7553
0.0000 0.2447 0.2447
0.0000 0.0000 0.0000
0.0000 0.5000 0.5000
```

[5]
DFT (PBE) results for an optimized crystal structure of LaNdSmPb.

Computed properties:
The symmetry is No. 119. As for the total magnetic moment: 0.0 μB per formula unit. The polymorph energy (0 for the lowest one) is 0.000 eV/f.u. Its formation enthalpy at 0 K is -0.309 eV per atom. As for the density of states at the Fermi level: 1.32 states/eV per atom. As for the calculated density: 8.42 g/cm3. As for the uncorrected energy: -19.36 eV per cell.

Geometry as POSCAR:
```
LaNdSmPb
1.0
-4.1065 2.3695 1.2946
-0.4813 -2.9646 3.8992
5.1183 3.6214 0.2788
Sm Pb La Nd
1 1 1 1
Direct
0.1955 0.6955 0.3910
0.6955 0.1955 0.3910
0.4456 0.4456 0.8912
0.9456 0.9456 0.8911
```

[6]
DFT (PBE) results for an optimized crystal structure of SrAg2P2.

Computed properties:
The symmetry is No. 127. As for the total magnetic moment: 0.0 μB per formula unit. The polymorph energy (0 for the lowest one) is 2.116 eV/f.u. Its formation enthalpy at 0 K is 0.004 eV per atom. As for the density of states at the Fermi level: 0.44 states/eV per atom. As for the calculated density: 5.94 g/cm3. As for the uncorrected energy: -36.37 eV per cell.

Geometry as POSCAR:
```
SrAg2P2
1.0
7.9551 0.0000 0.0000
0.0000 7.9551 0.0000
0.0000 0.0000 3.2299
Sr Ag P
2 4 4
Direct
0.5000 0.5000 0.0000
0.0000 0.0000 0.0000
0.1339 0.6339 0.5000
0.8661 0.3661 0.5000
0.6339 0.8661 0.5000
0.3661 0.1339 0.5000
0.6640 0.1640 0.0000
0.3360 0.8360 0.0000
0.1640 0.3360 0.0000
0.8360 0.6640 0.0000
```

[7]
DFT (PBE) results for an optimized crystal structure of Pu12Ru6Pt.

Computed properties:
The symmetry is No. 148. As for the total magnetic moment: 0.0 μB per formula unit. Its formation enthalpy at 0 K is -0.076 eV per atom. As for the density of states at the Fermi level: 2.94 states/eV per atom. As for the calculated density: 16.41 g/cm3. As for the uncorrected energy: -235.12 eV per cell.

Geometry as POSCAR:
```
Pu12Ru6Pt
1.0
-5.0800 -4.8733 -1.8163
5.6817 -4.4352 -0.9492
-0.5388 -0.9819 7.1833
Pu Ru Pt
12 6 1
Direct
0.8263 0.5207 0.3971
0.1737 0.4793 0.6029
0.9107 0.8409 0.5965
0.5965 0.9107 0.8409
0.6029 0.1737 0.4793
0.8409 0.5965 0.9107
0.4035 0.0893 0.1591
0.4793 0.6029 0.1737
0.3971 0.8263 0.5207
0.1591 0.4035 0.0893
0.0893 0.1591 0.4035
0.5207 0.3971 0.8263
0.8910 0.2392 0.7522
0.2478 0.1090 0.7608
0.2392 0.7522 0.8910
0.7522 0.8910 0.2392
0.7608 0.2478 0.1090
0.1090 0.7608 0.2478
0.0000 0.0000 0.0000
```

[8]
DFT (PBE) results for an optimized crystal structure of SrTaSe2O.

Computed properties:
The symmetry is No. 123. As for the total magnetic moment: 0.0 μB per formula unit. As for the density of states at the Fermi level: 0.28 states/eV per atom. As for the calculated density: 6.80 g/cm3. The formation energy (no corrections) is -1.684 eV/atom. As for the uncorrected energy: -33.88 eV per cell.

Geometry as POSCAR:
```
SrTaSe2O
1.0
-0.3648 2.6955 4.4702
-4.0642 -2.9587 1.4524
2.4711 -2.5427 1.7349
Se Ta Sr O
2 1 1 1
Direct
0.0000 0.5000 0.0000
0.5000 0.0000 0.0000
0.0000 0.0000 0.0000
0.5000 0.5000 0.5000
0.0000 0.0000 0.5000
```

[9]
DFT (PBE) results for an optimized crystal structure of Pr6Pt2Cl.

Computed properties:
The symmetry is No. 14. As for the total magnetic moment: 0.0 μB per formula unit. As for the density of states at the Fermi level: 1.10 states/eV per atom. As for the calculated density: 7.83 g/cm3. The formation energy (no corrections) is -0.844 eV/atom. As for the uncorrected energy: -100.40 eV per cell.

Geometry as POSCAR:
```
Pr6Pt2Cl
1.0
6.8086 0.0000 -0.0056
0.0000 7.5164 0.0000
0.3362 0.0000 10.5388
Pt Cl Pr
4 2 12
Direct
0.9324 0.3781 0.2396
0.4324 0.1219 0.7396
0.5676 0.8781 0.2604
0.0676 0.6219 0.7604
0.5000 0.5000 0.0000
0.0000 0.0000 0.5000
0.1542 0.3115 0.9261
0.3279 0.8366 0.9278
0.1636 0.0394 0.2428
0.6721 0.1634 0.0722
0.8458 0.6885 0.0739
0.8364 0.9606 0.7572
0.6542 0.1885 0.4261
0.1721 0.3366 0.5722
0.3458 0.8115 0.5739
0.3364 0.5394 0.2572
0.8279 0.6634 0.4278
0.6636 0.4606 0.7428
```

[10]
DFT (PBE) results for an optimized crystal structure of AlCrGe3.

Computed properties:
The symmetry is No. 221. As for the total magnetic moment: 0.5 μB per formula unit. The polymorph energy (0 for the lowest one) is 4.638 eV/f.u. Its formation enthalpy at 0 K is 1.291 eV per atom. As for the density of states at the Fermi level: 1.97 states/eV per atom. As for the calculated density: 4.50 g/cm3. As for the uncorrected energy: -20.76 eV per cell.

Geometry as POSCAR:
```
AlCrGe3
1.0
-2.3560 -1.2019 3.9861
-1.5542 -3.9951 -2.1232
3.8624 -2.3407 1.5771
Ge Al Cr
3 1 1
Direct
0.5000 0.0000 0.0000
0.0000 0.5000 0.0000
0.0000 0.0000 0.5000
0.0000 0.0000 0.0000
0.5000 0.5000 0.5000
```

[11]
DFT (PBE) results for an optimized crystal structure of LiMg2Re.

Computed properties:
The symmetry is No. 44. As for the total magnetic moment: 0.0 μB per formula unit. The polymorph energy (0 for the lowest one) is 0.598 eV/f.u. Its formation enthalpy at 0 K is 0.330 eV per atom. As for the density of states at the Fermi level: 0.56 states/eV per atom. As for the calculated density: 6.02 g/cm3. As for the uncorrected energy: -16.23 eV per cell.

Geometry as POSCAR:
```
LiMg2Re
1.0
-1.0429 0.9233 5.4606
2.9449 -2.7192 3.9613
-0.2973 3.5963 -4.3286
Re Li Mg
1 1 2
Direct
0.4940 0.4940 0.0000
0.2548 0.7548 0.5000
0.0089 0.0089 0.0000
0.7424 0.2424 0.5000
```

[12]
DFT (PBE) results for an optimized crystal structure of TlReRh2.

Computed properties:
The symmetry is No. 123. As for the total magnetic moment: 0.0 μB per formula unit. The polymorph energy (0 for the lowest one) is 0.000 eV/f.u. Its formation enthalpy at 0 K is 0.080 eV per atom. As for the density of states at the Fermi level: 0.68 states/eV per atom. As for the calculated density: 15.21 g/cm3. As for the uncorrected energy: -29.20 eV per cell.

Geometry as POSCAR:
```
TlReRh2
1.0
2.8592 0.0000 0.0000
0.0000 2.8592 0.0000
0.0000 0.0000 7.9659
Rh Re Tl
2 1 1
Direct
0.0000 0.0000 0.2763
0.0000 0.0000 0.7237
0.5000 0.5000 0.5000
0.5000 0.5000 0.0000
```

[13]
DFT (PBE) results for an optimized crystal structure of Cs3Te2I8.

Computed properties:
The symmetry is No. 166. As for the total magnetic moment: 0.0 μB per formula unit. As for the density of states at the Fermi level: 0.82 states/eV per atom. As for the calculated density: 3.87 g/cm3. The formation energy (no corrections) is -0.596 eV/atom. As for the uncorrected energy: -28.99 eV per cell.

Geometry as POSCAR:
```
Cs3Te2I8
1.0
-2.8397 5.6168 -5.5132
1.9070 -0.7651 -8.1108
-9.9981 -4.9115 -6.2031
I Te Cs
8 2 3
Direct
0.6864 0.6864 0.9408
0.3136 0.3136 0.0592
0.2522 0.8098 0.6857
0.8098 0.2522 0.6857
0.7478 0.7478 0.3143
0.1902 0.7478 0.3143
0.2522 0.2522 0.6857
0.7478 0.1902 0.3143
0.3973 0.3973 0.8081
0.6027 0.6027 0.1919
0.7940 0.7940 0.6180
0.0000 0.0000 0.0000
0.2060 0.2060 0.3820
```

[14]
DFT (PBE) results for an optimized crystal structure of Ac8Os3I3Cl.

Computed properties:
The symmetry is No. 166. As for the total magnetic moment: 0.0 μB per formula unit. As for the density of states at the Fermi level: 0.60 states/eV per atom. As for the calculated density: 8.02 g/cm3. The formation energy (no corrections) is -0.638 eV/atom. As for the uncorrected energy: -82.62 eV per cell.

Geometry as POSCAR:
```
Ac8Os3I3Cl
1.0
8.9686 0.0000 0.0000
-4.4843 7.7685 -0.0299
0.0000 -5.1482 8.3507
Ac I Os Cl
8 3 3 1
Direct
0.2457 0.9469 0.6922
0.7544 0.5089 0.3081
0.2702 0.5405 0.3110
0.7543 0.0531 0.3078
0.2988 0.0531 0.3078
0.7298 0.4595 0.6890
0.2456 0.4911 0.6919
0.7012 0.9469 0.6922
0.5000 0.5000 0.0000
0.0000 0.5000 0.0000
0.0000 0.0000 0.0000
0.5000 0.0000 0.5000
0.0000 0.5000 0.5000
0.5000 0.5000 0.5000
0.0000 0.0000 0.5000
```

[15]
DFT (PBE) results for an optimized crystal structure of PmSmGa4.

Computed properties:
The symmetry is No. 216. As for the total magnetic moment: 0.0 μB per formula unit. The polymorph energy (0 for the lowest one) is 0.705 eV/f.u. Its formation enthalpy at 0 K is -0.571 eV per atom. As for the density of states at the Fermi level: 0.73 states/eV per atom. As for the calculated density: 7.69 g/cm3. As for the uncorrected energy: -25.00 eV per cell.

Geometry as POSCAR:
```
PmSmGa4
1.0
-0.6737 -3.6575 4.1821
0.1838 -5.4973 -1.0334
4.3464 -3.0393 1.7868
Ga Pm Sm
4 1 1
Direct
0.1250 0.6250 0.6250
0.6250 0.6250 0.1250
0.6250 0.1250 0.6250
0.6250 0.6250 0.6250
0.0000 0.0000 0.0000
0.2500 0.2500 0.2500
```

[16]
DFT (PBE) results for an optimized crystal structure of Cs3MnAg2I9.

Computed properties:
The symmetry is No. 164. As for the total magnetic moment: 3.7 μB per formula unit. As for the density of states at the Fermi level: 0.46 states/eV per atom. As for the calculated density: 4.98 g/cm3. The formation energy (no corrections) is -0.761 eV/atom. As for the uncorrected energy: -42.80 eV per cell.

Geometry as POSCAR:
```
Cs3MnAg2I9
1.0
8.2702 0.0000 0.0000
-4.1351 7.1622 0.0000
0.0000 0.0000 10.1994
Mn I Ag Cs
1 9 2 3
Direct
0.0000 0.0000 0.5000
0.0000 0.5000 0.0000
0.5000 0.0000 0.0000
0.5000 0.5000 0.0000
0.8393 0.6785 0.6583
0.6785 0.8393 0.3417
0.8393 0.1607 0.6583
0.1607 0.3215 0.3417
0.1607 0.8393 0.3417
0.3215 0.1607 0.6583
0.3333 0.6667 0.1661
0.6667 0.3333 0.8339
0.0000 0.0000 0.0000
0.6667 0.3333 0.3276
0.3333 0.6667 0.6724
```

[17]
DFT (PBE) results for an optimized crystal structure of Nd4AsSeS2.

Computed properties:
The symmetry is No. 10. As for the total magnetic moment: 0.0 μB per formula unit. As for the density of states at the Fermi level: 0.36 states/eV per atom. As for the calculated density: 6.46 g/cm3. The formation energy (no corrections) is -1.873 eV/atom. As for the uncorrected energy: -50.45 eV per cell.

Geometry as POSCAR:
```
Nd4AsSeS2
1.0
-0.4188 -1.0250 4.0045
-0.3460 -6.9569 -1.8168
6.6717 -2.7995 -0.0188
As S Nd Se
1 2 4 1
Direct
0.5000 0.5000 0.0000
0.0000 0.0000 0.0000
0.5000 0.0000 0.5000
0.0000 0.7582 0.7544
0.5000 0.2362 0.7623
0.0000 0.2418 0.2456
0.5000 0.7638 0.2377
0.0000 0.5000 0.5000
```

[18]
DFT (PBE) results for an optimized crystal structure of CdH3Pb.

Computed properties:
The symmetry is No. 221. As for the total magnetic moment: 0.0 μB per formula unit. The polymorph energy (0 for the lowest one) is 0.000 eV/f.u. As for the density of states at the Fermi level: 0.26 states/eV per atom. As for the calculated density: 7.83 g/cm3. As for the uncorrected energy: -12.28 eV per cell.

Geometry as POSCAR:
```
CdH3Pb
1.0
4.0898 0.0000 0.0000
0.0000 4.0898 0.0000
0.0000 0.0000 4.0898
H Cd Pb
3 1 1
Direct
0.5000 0.0000 0.0000
0.0000 0.0000 0.5000
0.0000 0.5000 0.0000
0.0000 0.0000 0.0000
0.5000 0.5000 0.5000
```